Computed, not measured: an optimized crystal structure of CaZr2InCu at the GGA-PBE level of DFT.

* total magnetic moment: 0.3 μB/f.u.
* space group: P4/mmm, No. 123

Cell lengths 5.350, 5.663, 5.350 Å; angles 90.00, 90.00, 90.00 degrees
Site moments in Bohr magnetons follow the coordinates.
Fractional coordinates of all 5 atoms:
Cu1 0.500 0.500 0.500  0.00
In1 0.000 0.000 0.000  0.00
Zr1 0.000 0.000 0.500  0.06
Zr2 0.500 0.000 0.000  0.05
Ca1 0.000 0.500 0.000  0.01

Computed, not measured: an optimized crystal structure of Ca2CuIr at the GGA-PBE level of DFT.

* total magnetic moment: 0.0 μB/f.u.
* space group: I-4m2, No. 119

Cell lengths 5.413, 5.413, 5.413 Å; angles 133.80, 133.80, 67.40 degrees
Fractional coordinates of all 4 atoms:
Ca1 0.250 0.750 0.500
Ca2 0.000 0.000 0.000
Cu1 0.500 0.500 0.000
Ir1 0.750 0.250 0.500

Computed, not measured: an optimized crystal structure of Ca2CuIr at the GGA-PBE level of DFT.

* total magnetic moment: 0.0 μB/f.u.
* space group: Cm, No. 8

Cell lengths 5.710, 5.710, 4.959 Å; angles 73.19, 73.19, 33.66 degrees
Fractional coordinates of all 4 atoms:
Ir1 0.219 0.219 0.237
Ca1 0.969 0.969 0.062
Ca2 0.769 0.769 0.708
Cu1 0.543 0.543 0.493

Computed, not measured: an optimized crystal structure of Ca2CuIr at the GGA-PBE level of DFT.

* total magnetic moment: 0.0 μB/f.u.
* space group: Imm2, No. 44

Cell lengths 6.017, 6.017, 6.017 Å; angles 146.99, 133.18, 58.48 degrees
Fractional coordinates of all 4 atoms:
Ir1 0.280 0.780 0.500
Ca1 0.028 0.028 0.000
Ca2 0.734 0.234 0.500
Cu1 0.458 0.458 0.000

Computed, not measured: an optimized crystal structure of CaCu2Ir at the GGA-PBE level of DFT.

* total magnetic moment: 0.0 μB/f.u.
* space group: P4mm, No. 99

Cell lengths 3.131, 3.131, 6.748 Å; angles 90.00, 90.00, 89.99 degrees
Fractional coordinates of all 4 atoms:
Cu1 0.500 0.500 0.242
Cu2 0.000 0.000 0.065
Ca1 0.500 0.500 0.742
Ir1 0.000 0.000 0.452

Computed, not measured: an optimized crystal structure of CaCu2Ir at the GGA-PBE level of DFT.

* total magnetic moment: 0.0 μB/f.u.
* space group: P1, No. 1

Cell lengths 5.132, 5.310, 5.312 Å; angles 144.55, 129.15, 63.97 degrees
Fractional coordinates of all 4 atoms:
Ca1 0.258 0.747 0.511
Cu1 0.775 0.255 0.519
Cu2 0.971 0.978 0.993
Ir1 0.497 0.519 0.978

Number 1: energy relative to the elements 1.106 eV/atom. Number 2: energy relative to the elements -0.028 eV/atom. Number 3: energy relative to the elements -0.123 eV/atom. Number 4: energy relative to the elements -0.119 eV/atom. Number 5: energy relative to the elements 0.083 eV/atom. Number 6: energy relative to the elements 0.089 eV/atom.